(1)
PBE LiPaSnRh, relaxed; density of states at the Fermi level = 3.87 states/eV/f.u.; DFT total energy = -6.18 eV per atom; total moment = 0.91 μB per cell
1.0
0.0000 3.3690 3.3690
3.3690 0.0000 3.3690
3.3690 3.3690 0.0000
Li Pa Sn Rh
1 1 1 1
Direct
0.0000 0.0000 0.0000
0.7500 0.7500 0.7500
0.2500 0.2500 0.2500
0.5000 0.5000 0.5000

---

(2)
PBE TaPb3S, relaxed; distance to the lowest polymorph of the same formula = 0.0 meV/atom; density of states at the Fermi level = 3.85 states/eV/f.u.; formation energy without anion corrections = 0.715 eV/atom; total moment = 1.74 μB per cell
1.0
5.5029 0.0000 0.0000
0.0000 5.5029 0.0000
0.0000 0.0000 5.5029
Ta Pb S
1 3 1
Direct
0.0000 0.0000 0.0000
0.0000 0.0000 0.5000
0.0000 0.5000 0.0000
0.5000 0.0000 0.0000
0.5000 0.5000 0.5000

---

(3)
PBE TaBH, relaxed; distance to the lowest polymorph of the same formula = 148.0 meV/atom; density of states at the Fermi level = 0.62 states/eV/f.u.; total moment = 0.00 μB per cell
1.0
3.3253 0.0000 0.0000
-1.6526 4.0594 0.0000
-1.6505 -1.2275 4.0889
Ta B H
2 2 2
Direct
0.0069 0.2769 0.2385
0.9931 0.7231 0.7615
0.3296 0.3124 0.8458
0.6704 0.6876 0.1542
0.3898 0.7482 0.5281
0.6102 0.2518 0.4719